# 1
VASP calculation (PBE) on a relaxed structure of CaCd2In2Ag2.

a b c (Å): 5.291 5.291 7.392
angles (deg): 97.60 97.60 52.10
Atoms (fractional coordinates):
Ca1 0.000 0.000 0.000
Cd1 0.409 0.409 0.303
Cd2 0.591 0.591 0.697
In1 0.295 0.295 0.801
In2 0.705 0.705 0.199
Ag1 0.128 0.128 0.426
Ag2 0.872 0.872 0.574

Density of states at the Fermi level: 0.364 states/eV/atom
Space group: C2/m (12)
ΔH_f (0 K): -0.160 eV per atom
E_tot: -2.3043 eV/atom
Total moment: 0.00 μB/f.u.


# 2
VASP calculation (PBE) on a relaxed structure of Ca2Cd6InAg.

a b c (Å): 12.892 12.892 12.892
angles (deg): 32.56 32.56 32.56
Atoms (fractional coordinates):
Ca1 0.104 0.104 0.104
Ca2 0.279 0.279 0.279
Ca3 0.721 0.721 0.721
Ca4 0.896 0.896 0.896
Cd1 0.067 0.671 0.671
Cd2 0.225 0.225 0.634
Cd3 0.225 0.634 0.225
Cd4 0.329 0.329 0.933
Cd5 0.329 0.933 0.329
Cd6 0.366 0.775 0.775
Cd7 0.634 0.225 0.225
Cd8 0.671 0.067 0.671
Cd9 0.671 0.671 0.067
Cd10 0.775 0.366 0.775
Cd11 0.775 0.775 0.366
Cd12 0.933 0.329 0.329
In1 0.425 0.425 0.425
In2 0.575 0.575 0.575
Ag1 0.000 0.000 0.000
Ag2 0.500 0.500 0.500

Density of states at the Fermi level: 0.509 states/eV/atom
Space group: R-3m (166)
ΔH_f (0 K): -0.069 eV per atom
E_tot: -1.5769 eV/atom
Total moment: 0.00 μB/f.u.


# 3
VASP calculation (PBE) on a relaxed structure of Ca2CdIn6Ag.

a b c (Å): 13.245 13.245 13.245
angles (deg): 32.04 32.04 32.04
Atoms (fractional coordinates):
Ca1 0.104 0.104 0.104
Ca2 0.280 0.280 0.280
Ca3 0.720 0.720 0.720
Ca4 0.896 0.896 0.896
Cd1 0.426 0.426 0.426
Cd2 0.574 0.574 0.574
In1 0.069 0.667 0.667
In2 0.224 0.224 0.645
In3 0.224 0.645 0.224
In4 0.333 0.333 0.931
In5 0.333 0.931 0.333
In6 0.355 0.776 0.776
In7 0.645 0.224 0.224
In8 0.667 0.069 0.667
In9 0.667 0.667 0.069
In10 0.776 0.355 0.776
In11 0.776 0.776 0.355
In12 0.931 0.333 0.333
Ag1 0.000 0.000 0.000
Ag2 0.500 0.500 0.500

Density of states at the Fermi level: 0.293 states/eV/atom
Space group: R-3m (166)
ΔH_f (0 K): -0.074 eV per atom
E_tot: -2.4945 eV/atom
Total moment: 0.00 μB/f.u.


# 4
VASP calculation (PBE) on a relaxed structure of Ca3Cd6In2Ag.

a b c (Å): 5.977 5.977 10.030
angles (deg): 90.00 90.00 120.00
Atoms (fractional coordinates):
Ca1 0.000 0.000 0.000
Ca2 0.333 0.667 0.574
Ca3 0.667 0.333 0.426
Cd1 0.170 0.340 0.268
Cd2 0.170 0.830 0.268
Cd3 0.340 0.170 0.732
Cd4 0.660 0.830 0.268
Cd5 0.830 0.170 0.732
Cd6 0.830 0.660 0.732
In1 0.333 0.667 0.929
In2 0.667 0.333 0.071
Ag1 0.000 0.000 0.500

Density of states at the Fermi level: 0.650 states/eV/atom
Space group: P-3m1 (164)
ΔH_f (0 K): -0.196 eV per atom
E_tot: -1.8480 eV/atom
Total moment: 0.00 μB/f.u.


# 5
VASP calculation (PBE) on a relaxed structure of CaCd2InAg4.

a b c (Å): 8.731 8.731 8.731
angles (deg): 32.35 32.35 32.35
Atoms (fractional coordinates):
Ca1 0.000 0.000 0.000
Cd1 0.254 0.254 0.254
Cd2 0.746 0.746 0.746
In1 0.500 0.500 0.500
Ag1 0.128 0.128 0.128
Ag2 0.385 0.385 0.385
Ag3 0.615 0.615 0.615
Ag4 0.872 0.872 0.872

Density of states at the Fermi level: 0.396 states/eV/atom
Space group: R-3m (166)
ΔH_f (0 K): -0.120 eV per atom
E_tot: -2.3668 eV/atom
Total moment: 0.00 μB/f.u.


# 6
VASP calculation (PBE) on a relaxed structure of Ca2Cd3InAg12.

a b c (Å): 7.321 7.321 7.321
angles (deg): 83.44 83.44 83.44
Atoms (fractional coordinates):
Ca1 0.201 0.201 0.201
Ca2 0.799 0.799 0.799
Cd1 0.000 0.500 0.500
Cd2 0.500 0.000 0.500
Cd3 0.500 0.500 0.000
In1 0.500 0.500 0.500
Ag1 0.086 0.086 0.629
Ag2 0.086 0.629 0.086
Ag3 0.210 0.700 0.700
Ag4 0.300 0.300 0.790
Ag5 0.300 0.790 0.300
Ag6 0.371 0.914 0.914
Ag7 0.629 0.086 0.086
Ag8 0.700 0.210 0.700
Ag9 0.700 0.700 0.210
Ag10 0.790 0.300 0.300
Ag11 0.914 0.371 0.914
Ag12 0.914 0.914 0.371

Density of states at the Fermi level: 0.351 states/eV/atom
Space group: R-3m (166)
ΔH_f (0 K): -0.028 eV per atom
E_tot: -2.4563 eV/atom
Total moment: 0.00 μB/f.u.


# 7
VASP calculation (PBE) on a relaxed structure of Ca2Cd5InAg2.

a b c (Å): 10.317 10.317 4.546
angles (deg): 90.00 90.00 90.00
Atoms (fractional coordinates):
Ca1 0.179 0.321 0.000
Ca2 0.321 0.821 0.000
Ca3 0.679 0.179 0.000
Ca4 0.821 0.679 0.000
Cd1 0.000 0.500 0.500
Cd2 0.064 0.794 0.500
Cd3 0.206 0.064 0.500
Cd4 0.294 0.564 0.500
Cd5 0.436 0.294 0.500
Cd6 0.500 0.000 0.500
Cd7 0.564 0.706 0.500
Cd8 0.706 0.436 0.500
Cd9 0.794 0.936 0.500
Cd10 0.936 0.206 0.500
In1 0.000 0.000 0.000
In2 0.500 0.500 0.000
Ag1 0.115 0.615 0.000
Ag2 0.385 0.115 0.000
Ag3 0.615 0.885 0.000
Ag4 0.885 0.385 0.000

Density of states at the Fermi level: 0.534 states/eV/atom
Space group: P4/mbm (127)
ΔH_f (0 K): -0.220 eV per atom
E_tot: -1.9216 eV/atom
Total moment: 0.00 μB/f.u.


# 8
VASP calculation (PBE) on a relaxed structure of CaCd2AgIr.

a b c (Å): 5.388 5.388 5.055
angles (deg): 90.00 90.00 90.00
Atoms (fractional coordinates):
Ca1 0.000 0.000 0.000
Cd1 0.000 0.500 0.000
Cd2 0.500 0.000 0.000
Ag1 0.000 0.000 0.500
Ir1 0.500 0.500 0.500

Density of states at the Fermi level: 1.479 states/eV/atom
Space group: P4/mmm (123)
ΔH_f (0 K): 1.630 eV per atom
E_tot: -1.4784 eV/atom
Total moment: 1.58 μB/f.u.


# 9
VASP calculation (PBE) on a relaxed structure of Li2CaCd4Ag.

a b c (Å): 9.169 9.169 9.169
angles (deg): 30.50 30.50 30.50
Atoms (fractional coordinates):
Li1 0.240 0.240 0.240
Li2 0.760 0.760 0.760
Ca1 0.000 0.000 0.000
Cd1 0.128 0.128 0.128
Cd2 0.393 0.393 0.393
Cd3 0.607 0.607 0.607
Cd4 0.872 0.872 0.872
Ag1 0.500 0.500 0.500

Density of states at the Fermi level: 0.371 states/eV/atom
Space group: R-3m (166)
ΔH_f (0 K): -0.200 eV per atom
E_tot: -1.7422 eV/atom
Total moment: 0.00 μB/f.u.


# 10
VASP calculation (PBE) on a relaxed structure of LiCa2Cd5Ag2.

a b c (Å): 10.682 10.682 4.139
angles (deg): 90.00 90.00 90.00
Atoms (fractional coordinates):
Li1 0.000 0.000 0.000
Li2 0.500 0.500 0.000
Ca1 0.175 0.325 0.000
Ca2 0.325 0.825 0.000
Ca3 0.675 0.175 0.000
Ca4 0.825 0.675 0.000
Cd1 0.000 0.500 0.500
Cd2 0.058 0.806 0.500
Cd3 0.194 0.058 0.500
Cd4 0.306 0.558 0.500
Cd5 0.442 0.306 0.500
Cd6 0.500 0.000 0.500
Cd7 0.558 0.694 0.500
Cd8 0.694 0.442 0.500
Cd9 0.806 0.942 0.500
Cd10 0.942 0.194 0.500
Ag1 0.126 0.626 0.000
Ag2 0.374 0.126 0.000
Ag3 0.626 0.874 0.000
Ag4 0.874 0.374 0.000

Density of states at the Fermi level: 0.512 states/eV/atom
Space group: P4/mbm (127)
ΔH_f (0 K): -0.244 eV per atom
E_tot: -1.8633 eV/atom
Total moment: 0.00 μB/f.u.


# 11
VASP calculation (PBE) on a relaxed structure of LiCa2Cd3Ag12.

a b c (Å): 10.393 10.393 10.393
angles (deg): 39.76 39.76 39.76
Atoms (fractional coordinates):
Li1 0.000 0.000 0.000
Ca1 0.347 0.347 0.347
Ca2 0.653 0.653 0.653
Cd1 0.000 0.000 0.500
Cd2 0.000 0.500 0.000
Cd3 0.500 0.000 0.000
Ag1 0.077 0.077 0.655
Ag2 0.077 0.655 0.077
Ag3 0.183 0.576 0.576
Ag4 0.345 0.923 0.923
Ag5 0.424 0.424 0.817
Ag6 0.424 0.817 0.424
Ag7 0.576 0.183 0.576
Ag8 0.576 0.576 0.183
Ag9 0.655 0.077 0.077
Ag10 0.817 0.424 0.424
Ag11 0.923 0.345 0.923
Ag12 0.923 0.923 0.345

Density of states at the Fermi level: 0.241 states/eV/atom
Space group: R-3m (166)
ΔH_f (0 K): 0.078 eV per atom
E_tot: -2.3040 eV/atom
Total moment: 0.00 μB/f.u.


# 12
VASP calculation (PBE) on a relaxed structure of LiCaCd2Ag5.

a b c (Å): 4.957 4.957 8.551
angles (deg): 90.00 90.00 90.00
Atoms (fractional coordinates):
Li1 0.000 0.000 0.000
Ca1 0.000 0.000 0.500
Cd1 0.500 0.500 0.157
Cd2 0.500 0.500 0.843
Ag1 0.000 0.500 0.299
Ag2 0.000 0.500 0.701
Ag3 0.500 0.000 0.299
Ag4 0.500 0.000 0.701
Ag5 0.500 0.500 0.500

Density of states at the Fermi level: 0.289 states/eV/atom
Space group: P4/mmm (123)
ΔH_f (0 K): 0.001 eV per atom
E_tot: -2.2212 eV/atom
Total moment: 0.00 μB/f.u.